Entry 1:
Below is an optimized crystal structure of Ru2Cl8O, with properties calculated at the PBE level.

The value obtained for the density of states at the Fermi level is 5.87 states/eV per cell. The energy relative to the elements, uncorrected comes out at -0.44 eV/atom. Its uncorrected energy is -3.925 eV/atom.

a = 7.0273 Å, b = 7.0273 Å, c = 6.6862 Å
α = 92.00°, β = 92.00°, γ = 107.54°
Sites, in units of the cell vectors:
Ru 0.0912 0.0912 0.2515
Ru 0.9088 0.9088 0.7485
Cl 0.1115 0.7075 0.7204
Cl 0.1763 0.1763 0.6059
Cl 0.2925 0.8885 0.2796
Cl 0.3552 0.3552 0.1830
Cl 0.6448 0.6448 0.8170
Cl 0.7075 0.1115 0.7204
Cl 0.8237 0.8237 0.3941
Cl 0.8885 0.2925 0.2796
O 0.0000 0.0000 0.0000

---

Entry 2:
Below is an optimized crystal structure of Mg2PbW, with properties calculated at the PBE level.

The value obtained for the density of states at the Fermi level is 2.73 states/eV per cell. The formation enthalpy at 0 K comes out at 0.531 eV/atom. Its uncorrected energy is -4.432 eV/atom.

a = 5.4346 Å, b = 5.4346 Å, c = 3.0100 Å
α = 90.00°, β = 90.00°, γ = 114.61°
Sites, in units of the cell vectors:
Mg 0.0000 0.5000 0.0000
Mg 0.5000 0.0000 0.0000
Pb 0.0000 0.0000 0.5000
W 0.5000 0.5000 0.5000

---

Entry 3:
Below is an optimized crystal structure of MgNbCl6, with properties calculated at the PBE level.

The value obtained for the density of states at the Fermi level is 5.49 states/eV per cell. The energy relative to the elements, uncorrected comes out at -1.37 eV/atom. Its uncorrected energy is -4.212 eV/atom.

a = 6.7543 Å, b = 6.7543 Å, c = 6.7543 Å
α = 55.90°, β = 55.90°, γ = 55.90°
Sites, in units of the cell vectors:
Mg 0.0000 0.0000 0.0000
Nb 0.5000 0.5000 0.5000
Cl 0.1110 0.7409 0.4014
Cl 0.2591 0.5986 0.8890
Cl 0.4014 0.1110 0.7409
Cl 0.5986 0.8890 0.2591
Cl 0.7409 0.4014 0.1110
Cl 0.8890 0.2591 0.5986

---

Look up the uncorrected energy of the second one. -4.432 eV/atom

---

Among the records above, which one has the lowest uncorrected energy? Mg2PbW

---

The highest uncorrected energy belongs to which entry? Ru2Cl8O